Entry 1:
Compound: CoAsN2F
Source: the Alexandria database
Functional: meta-GGA SCAN
Structure: single point on PBEsol structure

abc: 3.640 3.719 3.719
angles: 90.00 90.00 90.00
Atoms (fractional coordinates):
N (0.000, 0.000, 0.500)
F (0.500, 0.000, 0.000)
Co (0.000, 0.000, 0.000)
N (0.000, 0.500, 0.000)
As (0.500, 0.500, 0.500)

- D(E_F) (states/eV per atom) = 0.42
- symmetry = P4/mmm
- raw total energy (eV per atom) = -11.4105
- formation energy from raw total energies (meV per atom) = 513
- density (g/cm3) = 6.0



Entry 2:
Compound: Fe2CoAs
Source: the Alexandria database
Functional: meta-GGA SCAN
Structure: single point on PBEsol structure

abc: 3.072 3.072 4.993
angles: 90.00 90.00 90.00
Each line ends with the local moment (μB).
Atoms (fractional coordinates):
Fe (0.000, 0.000, 0.749)  2.71
Fe (0.000, 0.000, 0.251)  2.71
Co (0.500, 0.500, 0.500)  1.74
As (0.500, 0.500, 0.000)  -0.04

- calculated formation energy (eV per formula unit) = 0.11
- D(E_F) (states/eV per atom) = 0.62
- symmetry = P4/mmm
- raw total energy (eV per atom) = -18.4120
- density (g/cm3) = 8.7



Entry 3:
Compound: Fe2CoAs
Source: the Alexandria database
Functional: meta-GGA SCAN
Structure: single point on PBEsol structure

abc: 2.719 2.719 7.643
angles: 79.76 79.76 60.00
Each line ends with the local moment (μB).
Atoms (fractional coordinates):
Fe (0.250, 0.250, 0.249)  2.35
Co (0.749, 0.749, 0.752)  1.43
Fe (0.000, 0.000, 0.000)  2.90
As (0.500, 0.500, 0.499)  -0.06

- calculated formation energy (eV per formula unit) = 0.72
- D(E_F) (states/eV per atom) = 0.85
- symmetry = R3m
- raw total energy (eV per atom) = -18.2597
- density (g/cm3) = 8.5



Entry 4:
Compound: Fe2Co2As
Source: the Alexandria database
Functional: meta-GGA SCAN
Structure: single point on PBEsol structure

abc: 3.115 3.115 6.514
angles: 103.84 103.84 90.00
Each line ends with the local moment (μB).
Atoms (fractional coordinates):
Co (0.599, 0.599, 0.198)  1.34
As (0.000, 0.000, 0.000)  -0.02
Fe (0.750, 0.250, 0.500)  2.35
Co (0.401, 0.401, 0.802)  1.34
Fe (0.250, 0.750, 0.500)  2.35

- calculated formation energy (eV per formula unit) = 2.40
- D(E_F) (states/eV per atom) = 0.93
- symmetry = I4/mmm
- raw total energy (eV per atom) = -17.7317
- density (g/cm3) = 8.5



Entry 5:
Compound: Fe2CoAs
Source: the Alexandria database
Functional: meta-GGA SCAN
Structure: single point on PBEsol structure

abc: 2.675 2.675 7.819
angles: 80.15 80.15 60.00
Each line ends with the local moment (μB).
Atoms (fractional coordinates):
As (0.500, 0.500, 0.500)  -0.06
Co (0.000, 0.000, 0.000)  1.90
Fe (0.251, 0.251, 0.247)  2.61
Fe (0.749, 0.749, 0.753)  2.61

- calculated formation energy (eV per formula unit) = 0.85
- D(E_F) (states/eV per atom) = 0.89
- symmetry = R-3m
- raw total energy (eV per atom) = -18.2251
- density (g/cm3) = 8.6



Entry 6:
Compound: TlFeCoAs2
Source: the Alexandria database
Functional: meta-GGA SCAN
Structure: single point on PBEsol structure

abc: 4.399 4.399 5.086
angles: 90.00 90.00 90.00
Each line ends with the local moment (μB).
Atoms (fractional coordinates):
As (0.500, 0.000, 0.000)  -0.08
Fe (0.500, 0.500, 0.500)  3.27
Co (0.000, 0.000, 0.000)  -0.90
As (0.000, 0.500, 0.000)  -0.08
Tl (0.000, 0.000, 0.500)  -0.01

- calculated formation energy (eV per formula unit) = 3.56
- D(E_F) (states/eV per atom) = 0.73
- symmetry = P4/mmm
- raw total energy (eV per atom) = -28.9223
- density (g/cm3) = 7.9



Entry 7:
Compound: VFeCoAs
Source: the Alexandria database
Functional: meta-GGA SCAN
Structure: single point on PBEsol structure

abc: 4.020 4.020 4.020
angles: 60.00 60.00 60.00
Each line ends with the local moment (μB).
Atoms (fractional coordinates):
V (0.500, 0.500, 0.500)  0.54
Fe (0.750, 0.750, 0.750)  1.28
As (0.000, 0.000, 0.000)  0.01
Co (0.250, 0.250, 0.250)  1.20

- calculated formation energy (eV per formula unit) = -0.61
- D(E_F) (states/eV per atom) = 0.60
- symmetry = F-43m
- raw total energy (eV per atom) = -18.4298
- density (g/cm3) = 8.7



Entry 8:
Compound: GaCoAs2
Source: the Alexandria database
Functional: meta-GGA SCAN
Structure: single point on PBEsol structure

abc: 5.450 5.450 6.619
angles: 114.31 114.31 90.00
Atoms (fractional coordinates):
As (0.125, 0.167, 0.750)
As (0.417, 0.875, 0.250)
Co (0.500, 0.500, 0.000)
As (0.625, 0.583, 0.750)
Co (0.750, 0.250, 0.500)
Ga (0.000, 0.000, 0.000)
As (0.833, 0.375, 0.250)
Ga (0.250, 0.750, 0.500)

- calculated formation energy (eV per formula unit) = 0.07
- D(E_F) (states/eV per atom) = 0.70
- symmetry = I-42d
- raw total energy (eV per atom) = -18.4906
- density (g/cm3) = 5.8



Entry 9:
Compound: Ga2CoAsIr
Source: the Alexandria database
Functional: meta-GGA SCAN
Structure: single point on PBEsol structure

abc: 4.654 4.654 4.651
angles: 90.00 90.00 90.00
Each line ends with the local moment (μB).
Atoms (fractional coordinates):
Ga (0.000, 0.500, 0.000)  0.00
Co (0.000, 0.000, 0.500)  2.40
Ir (0.000, 0.000, 0.000)  0.23
Ga (0.500, 0.000, 0.000)  0.00
As (0.500, 0.500, 0.500)  -0.30

- calculated formation energy (eV per formula unit) = 2.27
- D(E_F) (states/eV per atom) = 0.47
- symmetry = P4/mmm
- raw total energy (eV per atom) = -27.8029
- density (g/cm3) = 7.7



Entry 10:
Compound: GaCo2NiAs
Source: the Alexandria database
Functional: meta-GGA SCAN
Structure: single point on PBEsol structure

abc: 4.176 4.391 4.391
angles: 90.00 90.00 90.00
Each line ends with the local moment (μB).
Atoms (fractional coordinates):
Co (0.000, 0.500, 0.000)  1.99
Ni (0.000, 0.000, 0.000)  0.28
Ga (0.500, 0.500, 0.500)  0.04
Co (0.000, 0.000, 0.500)  1.99
As (0.500, 0.000, 0.000)  0.01

- calculated formation energy (eV per formula unit) = 3.06
- D(E_F) (states/eV per atom) = 0.69
- symmetry = P4/mmm
- raw total energy (eV per atom) = -16.8526
- density (g/cm3) = 6.6



Entry 11:
Compound: CoGeAsSe2
Source: the Alexandria database
Functional: meta-GGA SCAN
Structure: single point on PBEsol structure

abc: 4.772 4.875 4.875
angles: 90.00 90.00 90.00
Each line ends with the local moment (μB).
Atoms (fractional coordinates):
Se (0.000, 0.500, 0.000)  0.04
Ge (0.000, 0.000, 0.000)  0.01
Se (0.000, 0.000, 0.500)  0.04
Co (0.500, 0.500, 0.500)  2.44
As (0.500, 0.000, 0.000)  0.03

- D(E_F) (states/eV per atom) = 0.84
- symmetry = P4/mmm
- raw total energy (eV per atom) = -18.3353
- formation energy from raw total energies (meV per atom) = 1013
- density (g/cm3) = 5.3